# TbMgPa2Ir4 (PBE, relaxed)
data_TbMgPa2Ir4
_chemical_formula_sum 'Tb1 Mg1 Pa2 Ir4'
_cell_length_a 4.672
_cell_length_b 4.672
_cell_length_c 8.941
_cell_angle_alpha 74.85
_cell_angle_beta 74.85
_cell_angle_gamma 60.00
_symmetry_space_group_name_H-M 'P 1'
_symmetry_Int_Tables_number 1
loop_
_symmetry_equiv_pos_as_xyz
'x,y,z'
loop_
_atom_site_label
_atom_site_type_symbol
_atom_site_fract_x
_atom_site_fract_y
_atom_site_fract_z
Tb1 Tb 0.000 0.000 0.000
Mg1 Mg 0.500 0.500 0.500
Pa1 Pa 0.756 0.756 0.731
Pa2 Pa 0.244 0.244 0.269
Ir1 Ir 0.393 0.393 0.822
Ir2 Ir 0.876 0.876 0.373
Ir3 Ir 0.124 0.124 0.627
Ir4 Ir 0.607 0.607 0.178
# Crystal system = trigonal
# Density of states at the Fermi level = 0.77 states/eV/atom
# Symmetry = R-3m
# Formation energy = -694 meV/atom
# Final energy = -66.21 eV/cell